Record 1
Crystalline LiY2HIr at its relaxed geometry, computed with PBE.

a b c (Å): 4.961 4.961 3.642
angles (deg): 90.00 90.00 90.00
Sites, in units of the cell vectors:
Y1 0.500 0.000 0.000
Ir1 0.000 0.000 0.500
Y2 0.000 0.500 0.000
H1 0.000 0.000 0.000
Li1 0.500 0.500 0.500

Calculated values
The value obtained for the total magnetic moment is 0.00 μB per formula unit. Its space group is P4/mmm, No. 123. The value obtained for the density of states at the Fermi level is 2.80 states/eV/f.u. As for the excess energy over the best structure of this formula in the dataset: 104 meV per atom. The calculated volume comes out at 89.6 Å³ per cell. As for the total energy: -5.853 eV per atom.


Record 2
Crystalline Y2Al at its relaxed geometry, computed with PBE.

a b c (Å): 5.114 6.595 9.485
angles (deg): 90.00 90.00 90.00
Sites, in units of the cell vectors:
Y1 0.250 0.314 0.573
Y2 0.250 0.972 0.292
Al1 0.750 0.208 0.396
Al2 0.250 0.792 0.604
Y3 0.250 0.472 0.208
Al3 0.250 0.292 0.896
Y4 0.750 0.186 0.073
Y5 0.250 0.814 0.927
Y6 0.750 0.528 0.792
Y7 0.750 0.028 0.708
Y8 0.750 0.686 0.427
Al4 0.750 0.708 0.104

Calculated values
The value obtained for the total magnetic moment is 0.00 μB per formula unit. Its space group is Pnma, No. 62. The value obtained for the density of states at the Fermi level is 2.57 states/eV/f.u. The calculated volume comes out at 319.9 Å³ per cell. As for the total energy: -5.874 eV per atom.


Record 3
Crystalline Hf2TlHg at its relaxed geometry, computed with PBE.

a b c (Å): 7.870 7.870 6.355
angles (deg): 51.74 51.74 90.00
Sites, in units of the cell vectors:
Hf1 0.134 0.625 0.250
Hg1 0.250 0.750 0.500
Tl1 0.750 0.250 0.500
Tl2 0.000 0.000 0.000
Hf2 0.875 0.866 0.750
Hg2 0.500 0.500 0.000
Hf3 0.375 0.384 0.750
Hf4 0.616 0.125 0.250

Calculated values
The value obtained for the total magnetic moment is 0.00 μB per formula unit. Its space group is I-42d, No. 122. The value obtained for the density of states at the Fermi level is 3.09 states/eV/f.u. The calculated volume comes out at 190.1 Å³ per cell. As for the total energy: -5.296 eV per atom.


Record 4
Crystalline Ag2AsP at its relaxed geometry, computed with PBE.

a b c (Å): 4.676 4.676 4.676
angles (deg): 60.00 60.00 60.00
Sites, in units of the cell vectors:
Ag1 0.750 0.750 0.750
P1 0.000 0.000 0.000
As1 0.500 0.500 0.500
Ag2 0.250 0.250 0.250

Calculated values
The value obtained for the total magnetic moment is 0.00 μB per formula unit. Its space group is Fm-3m, No. 225. The value obtained for the density of states at the Fermi level is 2.19 states/eV/f.u. As for the excess energy over the best structure of this formula in the dataset: 225 meV per atom. The calculated volume comes out at 72.3 Å³ per cell. As for the total energy: -3.527 eV per atom.